A relaxed structure of GeBi2Se2, computed with PBE-GGA.

Summary:
Magnetic moment in μB/cell: 0.0
Formation energy without anion corrections in eV/f.u.: 0.59

Cell lengths 8.0989, 8.0989, 4.0816 Å; angles 90.00, 90.00, 90.00 degrees
With the nearest neighbours (Å) after each atom.
Fractional positions:
Ge1 0.0000 0.0000 0.0000  4 Se 3.05
Ge2 0.5000 0.5000 0.0000  4 Se 3.05
Bi1 0.1643 0.3357 0.5000  2 Se 2.89
Bi2 0.3357 0.8357 0.5000  2 Se 2.89
Bi3 0.6643 0.1643 0.5000  2 Se 2.89
Bi4 0.8357 0.6643 0.5000  2 Se 2.89
Se1 0.1571 0.6571 0.0000  2 Bi 2.89, 2 Ge 3.05
Se2 0.3429 0.1571 0.0000  2 Bi 2.89, 2 Ge 3.05
Se3 0.6571 0.8429 0.0000  2 Bi 2.89, 2 Ge 3.05
Se4 0.8429 0.3429 0.0000  2 Bi 2.89, 2 Ge 3.05

---

A relaxed structure of Ge2BiSe6, computed with PBE-GGA.

Summary:
Magnetic moment in μB/cell: 0.0
Formation energy without anion corrections in eV/f.u.: -1.47

Cell lengths 8.8280, 8.8280, 6.6482 Å; angles 98.01, 98.01, 87.30 degrees
With the nearest neighbours (Å) after each atom.
Fractional positions:
Ge1 0.1206 0.2687 0.2750  4 Se 2.39-2.44
Ge2 0.2687 0.1206 0.7750  4 Se 2.39-2.44
Ge3 0.7313 0.8794 0.2250  4 Se 2.39-2.44
Ge4 0.8794 0.7313 0.7250  4 Se 2.39-2.44
Bi1 0.3768 0.6232 0.7500  6 Se 2.96-3.00
Bi2 0.6232 0.3768 0.2500  6 Se 2.96-3.00
Se1 0.0379 0.2267 0.5921  2 Ge 2.41-2.44
Se2 0.0928 0.6391 0.9416  1 Ge 2.39
Se3 0.2267 0.0379 0.0921  2 Ge 2.41-2.44
Se4 0.3025 0.4718 0.3232  1 Ge 2.42
Se5 0.3609 0.9072 0.5584  1 Ge 2.39
Se6 0.4718 0.3025 0.8232  1 Ge 2.42
Se7 0.5282 0.6975 0.1768  1 Ge 2.42
Se8 0.6391 0.0928 0.4416  1 Ge 2.39
Se9 0.6975 0.5282 0.6768  1 Ge 2.42
Se10 0.7733 0.9621 0.9079  2 Ge 2.41-2.44
Se11 0.9072 0.3609 0.0584  1 Ge 2.39
Se12 0.9621 0.7733 0.4079  2 Ge 2.41-2.44

---

Let's list V in order: 133.86 253.92 Å³/f.u..
Let's list calculated total energy in order: -3.751 -3.944 eV/atom.